A geometry-optimized BC2 structure. Source: the Alexandria database, functional PBE.

Properties
Magnetic moment (μB/cell): 0.0
Energy of formation (eV/atom): 0.345
E above lowest polymorph (eV per formula unit): 0.32

CIF file:
```
data_BC2
_space_group_name_H-M_alt 'P 1'
_space_group_IT_number 1
_cell_length_a 4.439
_cell_length_b 4.416
_cell_length_c 5.346
_cell_angle_alpha 107.69
_cell_angle_beta 110.58
_cell_angle_gamma 50.32
loop_
_space_group_symop_operation_xyz
'x,y,z'
loop_
_atom_site_label
_atom_site_type_symbol
_atom_site_fract_x
_atom_site_fract_y
_atom_site_fract_z
B1 B 0.371 0.246 0.150
B2 B 0.650 0.677 0.313
B3 B 0.163 0.750 0.262
B4 B 0.052 0.998 0.995
C1 C 0.570 0.105 0.443
C2 C 0.272 0.743 0.751
C3 C 0.904 0.476 0.082
C4 C 0.979 0.012 0.514
C5 C 0.333 0.343 0.669
C6 C 0.919 0.413 0.588
C7 C 0.605 0.070 0.915
C8 C 0.681 0.665 0.817
```